[1]
Density functional theory data (PBE) for a relaxed Mn3Se crystal.

Values from the calculation:
- SG = Pm-3m
- total moment (μB/f.u.) = 5.60
- excess energy over the best structure of this formula in the dataset (meV per atom) = 118
- formation energy from raw total energies (eV/atom) = 0.2205

abc: 3.6687 3.6687 3.6687
angles: 90.00 90.00 90.00
Last column: nearest neighbours and their distance in Å.
Sites, in units of the cell vectors:
Mn  0.0000  0.0000  0.5000  8 Mn 2.59, 4 Se 2.59
Mn  0.0000  0.5000  0.0000  8 Mn 2.59, 4 Se 2.59
Mn  0.5000  0.0000  0.0000  8 Mn 2.59, 4 Se 2.59
Se  0.5000  0.5000  0.5000  12 Mn 2.59



[2]
Density functional theory data (PBE) for a relaxed CaLaNdGa crystal.

Values from the calculation:
- SG = F-43m
- total moment (μB/f.u.) = 0.00
- DFT formation energy (eV/atom) = -0.145

abc: 5.5364 5.5364 5.5364
angles: 60.00 60.00 60.00
Last column: nearest neighbours and their distance in Å.
Sites, in units of the cell vectors:
Ca  0.0000  0.0000  0.0000  4 La 3.39, 4 Nd 3.39
La  0.7500  0.7500  0.7500  4 Ga 3.39, 4 Ca 3.39
Nd  0.2500  0.2500  0.2500  4 Ca 3.39, 4 Ga 3.39
Ga  0.5000  0.5000  0.5000  4 La 3.39, 4 Nd 3.39



[3]
Density functional theory data (PBE) for a relaxed Ho3Ru5O12 crystal.

Values from the calculation:
- SG = Ia-3d
- total moment (μB/f.u.) = 0.00
- formation energy from raw total energies (eV/atom) = -1.5741

abc: 10.9335 10.9335 10.9335
angles: 109.47 109.47 109.47
Last column: nearest neighbours and their distance in Å.
Sites, in units of the cell vectors:
Ho  0.1250  0.2500  0.3750  8 O 2.34-2.44
Ho  0.1250  0.3750  0.7500  8 O 2.34-2.44
Ho  0.2500  0.3750  0.1250  8 O 2.34-2.44
Ho  0.2500  0.8750  0.6250  8 O 2.34-2.44
Ho  0.3750  0.1250  0.2500  8 O 2.34-2.44
Ho  0.3750  0.7500  0.1250  8 O 2.34-2.44
Ho  0.6250  0.2500  0.8750  8 O 2.34-2.44
Ho  0.6250  0.8750  0.7500  8 O 2.34-2.44
Ho  0.7500  0.1250  0.3750  8 O 2.34-2.44
Ho  0.7500  0.6250  0.8750  8 O 2.34-2.44
Ho  0.8750  0.6250  0.2500  8 O 2.34-2.44
Ho  0.8750  0.7500  0.6250  8 O 2.34-2.44
Ru  0.0000  0.0000  0.0000  6 O 2.07
Ru  0.0000  0.0000  0.5000  6 O 2.07
Ru  0.0000  0.5000  0.0000  6 O 2.07
Ru  0.0000  0.5000  0.5000  6 O 2.07
Ru  0.1250  0.7500  0.8750  4 O 1.96
Ru  0.1250  0.8750  0.2500  4 O 1.96
Ru  0.2500  0.1250  0.8750  4 O 1.96
Ru  0.2500  0.6250  0.3750  4 O 1.96
Ru  0.3750  0.2500  0.6250  4 O 1.96
Ru  0.3750  0.6250  0.7500  4 O 1.96
Ru  0.5000  0.0000  0.0000  6 O 2.07
Ru  0.5000  0.0000  0.5000  6 O 2.07
Ru  0.5000  0.5000  0.0000  6 O 2.07
Ru  0.5000  0.5000  0.5000  6 O 2.07
Ru  0.6250  0.3750  0.2500  4 O 1.96
Ru  0.6250  0.7500  0.3750  4 O 1.96
Ru  0.7500  0.3750  0.6250  4 O 1.96
Ru  0.7500  0.8750  0.1250  4 O 1.96
Ru  0.8750  0.1250  0.7500  4 O 1.96
Ru  0.8750  0.2500  0.1250  4 O 1.96
O  0.0390  0.2106  0.1311  2 Ru 1.96-2.07
O  0.0390  0.3284  0.9079  2 Ru 1.96-2.07
O  0.0795  0.7106  0.6716  2 Ru 1.96-2.07
O  0.0795  0.8689  0.4079  2 Ru 1.96-2.07
O  0.0921  0.6311  0.4205  2 Ru 1.96-2.07
O  0.0921  0.9610  0.6716  2 Ru 1.96-2.07
O  0.1311  0.0390  0.2106  2 Ru 1.96-2.07
O  0.1311  0.5921  0.9205  2 Ru 1.96-2.07
O  0.1716  0.2106  0.5795  2 Ru 1.96-2.07
O  0.1716  0.4610  0.5921  2 Ru 1.96-2.07
O  0.2106  0.1311  0.0390  2 Ru 1.96-2.07
O  0.2106  0.5795  0.1716  2 Ru 1.96-2.07
O  0.2894  0.3284  0.9205  2 Ru 1.96-2.07
O  0.2894  0.4610  0.3689  2 Ru 1.96-2.07
O  0.3284  0.9079  0.0390  2 Ru 1.96-2.07
O  0.3284  0.9205  0.2894  2 Ru 1.96-2.07
O  0.3689  0.2894  0.4610  2 Ru 1.96-2.07
O  0.3689  0.5795  0.9079  2 Ru 1.96-2.07
O  0.4079  0.0795  0.8689  2 Ru 1.96-2.07
O  0.4079  0.8284  0.5390  2 Ru 1.96-2.07
O  0.4205  0.0921  0.6311  2 Ru 1.96-2.07
O  0.4205  0.8284  0.7894  2 Ru 1.96-2.07
O  0.4610  0.3689  0.2894  2 Ru 1.96-2.07
O  0.4610  0.5921  0.1716  2 Ru 1.96-2.07
O  0.5390  0.4079  0.8284  2 Ru 1.96-2.07
O  0.5390  0.6311  0.7106  2 Ru 1.96-2.07
O  0.5795  0.1716  0.2106  2 Ru 1.96-2.07
O  0.5795  0.9079  0.3689  2 Ru 1.96-2.07
O  0.5921  0.1716  0.4610  2 Ru 1.96-2.07
O  0.5921  0.9205  0.1311  2 Ru 1.96-2.07
O  0.6311  0.4205  0.0921  2 Ru 1.96-2.07
O  0.6311  0.7106  0.5390  2 Ru 1.96-2.07
O  0.6716  0.0795  0.7106  2 Ru 1.96-2.07
O  0.6716  0.0921  0.9610  2 Ru 1.96-2.07
O  0.7106  0.5390  0.6311  2 Ru 1.96-2.07
O  0.7106  0.6716  0.0795  2 Ru 1.96-2.07
O  0.7894  0.4205  0.8284  2 Ru 1.96-2.07
O  0.7894  0.8689  0.9610  2 Ru 1.96-2.07
O  0.8284  0.5390  0.4079  2 Ru 1.96-2.07
O  0.8284  0.7894  0.4205  2 Ru 1.96-2.07
O  0.8689  0.4079  0.0795  2 Ru 1.96-2.07
O  0.8689  0.9610  0.7894  2 Ru 1.96-2.07
O  0.9079  0.0390  0.3284  2 Ru 1.96-2.07
O  0.9079  0.3689  0.5795  2 Ru 1.96-2.07
O  0.9205  0.1311  0.5921  2 Ru 1.96-2.07
O  0.9205  0.2894  0.3284  2 Ru 1.96-2.07
O  0.9610  0.6716  0.0921  2 Ru 1.96-2.07
O  0.9610  0.7894  0.8689  2 Ru 1.96-2.07



[4]
Density functional theory data (PBE) for a relaxed Ac2ErOs3O12 crystal.

Values from the calculation:
- SG = R-3m
- total moment (μB/f.u.) = 1.84
- formation energy from raw total energies (eV/atom) = -1.9047

abc: 6.7976 6.7976 6.7976
angles: 64.70 64.70 64.70
Last column: nearest neighbours and their distance in Å.
Sites, in units of the cell vectors:
Ac  0.1214  0.1214  0.1214  3 O 2.37
Ac  0.8786  0.8786  0.8786  3 O 2.37
Er  0.5000  0.5000  0.5000  6 O 2.43
Os  0.0000  0.5000  0.5000  6 O 1.95-1.96
Os  0.5000  0.0000  0.5000  6 O 1.95-1.96
Os  0.5000  0.5000  0.0000  6 O 1.95-1.96
O  0.0871  0.6390  0.6390  1 Os 1.96
O  0.2168  0.2168  0.6177  2 Os 1.95
O  0.2168  0.6177  0.2168  2 Os 1.95
O  0.3610  0.3610  0.9129  1 Os 1.96
O  0.3610  0.9129  0.3610  1 Os 1.96
O  0.3823  0.7832  0.7832  2 Os 1.95
O  0.6177  0.2168  0.2168  2 Os 1.95
O  0.6390  0.0871  0.6390  1 Os 1.96
O  0.6390  0.6390  0.0871  1 Os 1.96
O  0.7832  0.3823  0.7832  2 Os 1.95
O  0.7832  0.7832  0.3823  2 Os 1.95
O  0.9129  0.3610  0.3610  1 Os 1.96



Q: What is the total moment in the fourth record?
A: 1.84 μB/f.u.